# AlRe2Ge

An optimized crystal structure of AlRe2Ge (PBE-GGA, the Alexandria database).

The offset from the most stable computed form comes out at 59.04 kJ per mole of atoms. The calculated volume is 17.3 A^3/atom. The density of states at the Fermi level is 16.30 states/eV per cell. Its formation energy from the elements is 0.77 eV per atom. The mass density comes out at 11.33 g/cm3.

The space group is I-42d (No. 122) and the conventional cell measures 7.522, 7.522 and 4.892 Å, with angles of 90.00, 90.00 and 90.00 degrees. The asymmetric unit holds Al at (0.000, 0.000, 0.000), Re at (0.185, 0.250, 0.625) and Ge at (0.000, 0.000, 0.500).

***

# Al2ReGe2

An optimized crystal structure of Al2ReGe2 (PBE-GGA, the Alexandria database).

The offset from the most stable computed form comes out at 38.84 kJ per mole of atoms. The calculated volume is 17.6 A^3/atom. The density of states at the Fermi level is 6.79 states/eV per cell. Its formation energy from the elements is 0.64 eV per atom. The mass density comes out at 7.27 g/cm3.

The space group is I4/mmm (No. 139) and the conventional cell measures 3.439, 3.439 and 14.884 Å, with angles of 90.00, 90.00 and 90.00 degrees. The asymmetric unit holds Al at (0.000, 0.500, 0.250), Re at (0.000, 0.000, 0.000) and Ge at (0.000, 0.000, 0.410).

***

# AlReGe3

An optimized crystal structure of AlReGe3 (PBE-GGA, the Alexandria database).

The offset from the most stable computed form comes out at 88.99 kJ per mole of atoms. The calculated volume is 21.7 A^3/atom. The density of states at the Fermi level is 3.61 states/eV per cell. Its formation energy from the elements is 1.44 eV per atom. The mass density comes out at 6.60 g/cm3.

The space group is Pm-3m (No. 221) and the conventional cell measures 4.770, 4.770 and 4.770 Å, with angles of 90.00, 90.00 and 90.00 degrees. The asymmetric unit holds Al at (0.000, 0.000, 0.000), Re at (0.500, 0.500, 0.500) and Ge at (0.000, 0.000, 0.500).

***

# AlReGe2

An optimized crystal structure of AlReGe2 (PBE-GGA, the Alexandria database).

The calculated volume is 23.8 A^3/atom. The density of states at the Fermi level is 16.31 states/eV per cell. Its formation energy from the elements is 0.76 eV per atom. The mass density comes out at 6.27 g/cm3.

The space group is I-42d (No. 122) and the conventional cell measures 5.844, 5.844 and 11.127 Å, with angles of 90.00, 90.00 and 90.00 degrees. The asymmetric unit holds Al at (0.000, 0.000, 0.000), Re at (0.000, 0.000, 0.500) and Ge at (0.227, 0.250, 0.625).

***

# AlRe3Ge

An optimized crystal structure of AlRe3Ge (PBE-GGA, the Alexandria database).

The offset from the most stable computed form comes out at 0.00 kJ per mole of atoms. The calculated volume is 18.6 A^3/atom. The density of states at the Fermi level is 7.09 states/eV per cell. Its formation energy from the elements is 1.65 eV per atom. The mass density comes out at 11.78 g/cm3.

The space group is Pm-3m (No. 221) and the conventional cell measures 4.528, 4.528 and 4.528 Å, with angles of 90.00, 90.00 and 90.00 degrees. The asymmetric unit holds Al at (0.000, 0.000, 0.000), Re at (0.000, 0.500, 0.500) and Ge at (0.500, 0.500, 0.500).

***

# AlRe2Ge2

An optimized crystal structure of AlRe2Ge2 (PBE-GGA, the Alexandria database).

The calculated volume is 15.8 A^3/atom. The density of states at the Fermi level is 4.97 states/eV per cell. Its formation energy from the elements is 0.21 eV per atom. The mass density comes out at 11.46 g/cm3.

The space group is P4/mbm (No. 127) and the conventional cell measures 6.981, 6.981 and 3.239 Å, with angles of 90.00, 90.00 and 90.00 degrees. The asymmetric unit holds Al at (0.000, 0.000, 0.000), Re at (0.146, 0.354, 0.000) and Ge at (0.152, 0.652, 0.500).

***

# AlReGe3

An optimized crystal structure of AlReGe3 (PBE-GGA, the Alexandria database).

The offset from the most stable computed form comes out at 0.00 kJ per mole of atoms. The calculated volume is 22.9 A^3/atom. The density of states at the Fermi level is 3.69 states/eV per cell. Its formation energy from the elements is 0.52 eV per atom. The mass density comes out at 6.25 g/cm3.

The space group is Pm-3m (No. 221) and the conventional cell measures 4.856, 4.856 and 4.856 Å, with angles of 90.00, 90.00 and 90.00 degrees. The asymmetric unit holds Al at (0.000, 0.000, 0.000), Re at (0.500, 0.500, 0.500) and Ge at (0.000, 0.500, 0.500).

***

# Al2ReGeRu

An optimized crystal structure of Al2ReGeRu (PBE-GGA, the Alexandria database).

The calculated volume is 20.5 A^3/atom. The density of states at the Fermi level is 4.63 states/eV per cell. Its formation energy from the elements is 0.82 eV per atom. The mass density comes out at 6.71 g/cm3.

The space group is P4/mmm (No. 123) and the conventional cell measures 4.636, 4.636 and 4.765 Å, with angles of 90.00, 90.00 and 90.00 degrees. The asymmetric unit holds Al at (0.000, 0.500, 0.000), Re at (0.000, 0.000, 0.500), Ge at (0.500, 0.500, 0.500) and Ru at (0.000, 0.000, 0.000).

***

# Al2ReSnGe

An optimized crystal structure of Al2ReSnGe (PBE-GGA, the Alexandria database).

The calculated volume is 26.7 A^3/atom. The density of states at the Fermi level is 3.99 states/eV per cell. Its formation energy from the elements is 1.64 eV per atom. The mass density comes out at 5.37 g/cm3.

The space group is P4/mmm (No. 123) and the conventional cell measures 5.114, 5.114 and 5.097 Å, with angles of 90.00, 90.00 and 90.00 degrees. The asymmetric unit holds Al at (0.000, 0.500, 0.000), Re at (0.000, 0.000, 0.500), Sn at (0.000, 0.000, 0.000) and Ge at (0.500, 0.500, 0.500).

***

# AlGeRh3

An optimized crystal structure of AlGeRh3 (PBE-GGA, the Alexandria database).

The offset from the most stable computed form comes out at 17.96 kJ per mole of atoms. The calculated volume is 17.5 A^3/atom. The density of states at the Fermi level is 1.17 states/eV per cell. Its formation energy from the elements is 0.47 eV per atom. The mass density comes out at 7.76 g/cm3.

The space group is Pm-3m (No. 221) and the conventional cell measures 4.438, 4.438 and 4.438 Å, with angles of 90.00, 90.00 and 90.00 degrees. The asymmetric unit holds Al at (0.000, 0.000, 0.000), Ge at (0.500, 0.500, 0.500) and Rh at (0.000, 0.000, 0.500).

***

# AlGe2Rh5

An optimized crystal structure of AlGe2Rh5 (PBE-GGA, the Alexandria database).

The calculated volume is 14.2 A^3/atom. The density of states at the Fermi level is 9.64 states/eV per cell. Its formation energy from the elements is -0.56 eV per atom. The mass density comes out at 10.07 g/cm3.

The space group is Pbam (No. 55) and the conventional cell measures 5.323, 10.268 and 4.144 Å, with angles of 90.00, 90.00 and 90.00 degrees. The asymmetric unit holds Al at (0.000, 0.000, 0.000), Ge at (0.143, 0.362, 0.500), Rh at (0.000, 0.500, 0.000), Rh at (0.156, 0.776, 0.000) and Rh at (0.174, 0.109, 0.500).

***

# AlGeRh3

An optimized crystal structure of AlGeRh3 (PBE-GGA, the Alexandria database).

The offset from the most stable computed form comes out at 0.00 kJ per mole of atoms. The calculated volume is 18.1 A^3/atom. The density of states at the Fermi level is 0.61 states/eV per cell. Its formation energy from the elements is 0.28 eV per atom. The mass density comes out at 7.50 g/cm3.

The space group is Pm-3m (No. 221) and the conventional cell measures 4.489, 4.489 and 4.489 Å, with angles of 90.00, 90.00 and 90.00 degrees. The asymmetric unit holds Al at (0.000, 0.000, 0.000), Ge at (0.500, 0.500, 0.500) and Rh at (0.000, 0.500, 0.500).